DFT (PBE) results for a relaxed Be3As4 crystal.

The structure belongs to space group P6/mmm (No. 191); the cell edges are 4.2542, 4.2542 and 8.4313 Å and the angles 90.00°, 90.00° and 120.00°. The asymmetric unit holds Be at (0.0000, 0.5000, 0.0000), As at (0.0000, 0.0000, 0.1608) and As at (0.3333, 0.6667, 0.5000).

Its total magnetic moment is 0.0 μB per formula unit. Its total energy is -27.4 eV/cell. The calculation puts the formation energy at 0.335 eV per atom.